VASP calculation (PBE) on a relaxed PuPbCl6 crystal.

## Properties
* V: 32.1 Å³/atom
* formation energy from raw total energies: -1133 kJ/mol of formula units
* E_tot: -0.1877 hartree per atom

Lattice parameters (Å, degrees): 6.840 6.839 7.469 62.73 62.73 59.99
Site moments in Bohr magnetons follow the coordinates.
Fractional coordinates of all 8 atoms:
Cl: 0.395 0.772 0.762  -0.06
Cl: 0.228 0.929 0.237  -0.06
Cl: 0.071 0.395 0.762  -0.06
Cl: 0.605 0.228 0.238  -0.06
Cl: 0.929 0.605 0.238  -0.06
Cl: 0.772 0.071 0.763  -0.06
Pu: 0.000 0.000 0.000  4.37
Pb: 0.500 0.500 0.500  -0.01